# 1
Density functional theory data (PBE) for crystalline CaP2Rh at its relaxed geometry.

abc: 5.260 5.260 5.260
angles: 136.99 136.99 62.45
Fractional positions:
Ca 0.000 0.000 0.000
P 0.250 0.750 0.500
P 0.500 0.500 0.000
Rh 0.750 0.250 0.500

Summary:
Energy relative to the elements: -0.20 eV/atom
Electronic total energy: -5.2455 eV/atom
Polymorph energy (0 for the lowest one): 621 meV/atom

***

# 2
Density functional theory data (PBE) for crystalline Li3TaBe at its relaxed geometry.

abc: 4.109 4.109 4.109
angles: 90.00 90.00 90.00
Fractional positions:
Li 0.000 0.000 0.500
Li 0.000 0.500 0.000
Li 0.500 0.000 0.000
Ta 0.500 0.500 0.500
Be 0.000 0.000 0.000

Summary:
Energy relative to the elements: 0.98 eV/atom
Electronic total energy: -3.2833 eV/atom
Polymorph energy (0 for the lowest one): 0 meV/atom

***

# 3
Density functional theory data (PBE) for crystalline Rb4Ce3NdSe8 at its relaxed geometry.

abc: 9.472 9.472 9.472
angles: 55.45 55.45 55.45
Fractional positions:
Rb 0.000 0.000 0.000
Rb 0.000 0.500 0.500
Rb 0.500 0.000 0.500
Rb 0.500 0.500 0.000
Ce 0.000 0.000 0.500
Ce 0.000 0.500 0.000
Ce 0.500 0.000 0.000
Nd 0.500 0.500 0.500
Se 0.233 0.233 0.233
Se 0.234 0.733 0.733
Se 0.267 0.267 0.766
Se 0.267 0.766 0.267
Se 0.733 0.234 0.733
Se 0.733 0.733 0.234
Se 0.766 0.267 0.267
Se 0.767 0.767 0.767

Summary:
Electronic total energy: -5.0810 eV/atom

***

# 4
Density functional theory data (PBE) for crystalline LaTb2Nd4 at its relaxed geometry.

abc: 9.378 9.378 9.378
angles: 144.31 144.31 51.37
Fractional positions:
La 0.000 0.000 0.000
Tb 0.390 0.390 0.000
Tb 0.610 0.610 0.000
Nd 0.000 0.500 0.500
Nd 0.184 0.184 0.000
Nd 0.500 0.000 0.500
Nd 0.816 0.816 0.000

Summary:
Energy relative to the elements: 0.62 eV/atom
Electronic total energy: -4.1283 eV/atom
Polymorph energy (0 for the lowest one): 554 meV/atom

***

# 5
Density functional theory data (PBE) for crystalline Ce8CdIn2 at its relaxed geometry.

abc: 8.277 8.277 5.799
angles: 102.35 102.35 117.81
Fractional positions:
Ce 0.082 0.275 0.587
Ce 0.229 0.771 0.000
Ce 0.275 0.082 0.587
Ce 0.402 0.402 0.141
Ce 0.598 0.598 0.859
Ce 0.725 0.918 0.413
Ce 0.771 0.229 0.000
Ce 0.918 0.725 0.413
Cd 0.000 0.000 0.000
In 0.311 0.689 0.500
In 0.689 0.311 0.500

Summary:
Energy relative to the elements: -0.03 eV/atom
Electronic total energy: -4.9286 eV/atom
Polymorph energy (0 for the lowest one): 83 meV/atom

***

# 6
Density functional theory data (PBE) for crystalline K2TlPt at its relaxed geometry.

abc: 3.172 4.947 7.434
angles: 90.00 90.00 90.00
Fractional positions:
K 0.000 0.000 0.216
K 0.000 0.000 0.784
Tl 0.500 0.500 0.500
Pt 0.500 0.500 0.000

Summary:
Energy relative to the elements: 0.13 eV/atom
Electronic total energy: -2.5161 eV/atom
Polymorph energy (0 for the lowest one): 273 meV/atom

***

# 7
Density functional theory data (PBE) for crystalline RbTa2NiMo at its relaxed geometry.

abc: 4.703 4.703 5.043
angles: 90.00 90.00 90.00
Fractional positions:
Rb 0.000 0.000 0.000
Ta 0.000 0.500 0.500
Ta 0.500 0.000 0.500
Ni 0.000 0.000 0.500
Mo 0.500 0.500 0.000

Summary:
Energy relative to the elements: 2.03 eV/atom
Electronic total energy: -6.2281 eV/atom

***

# 8
Density functional theory data (PBE) for crystalline Nb2VNi at its relaxed geometry.

abc: 5.612 5.612 5.612
angles: 102.79 102.79 123.86
Fractional positions:
Nb 0.109 0.625 0.984
Nb 0.375 0.359 0.484
Nb 0.641 0.125 0.016
Nb 0.875 0.891 0.516
V 0.250 0.750 0.500
V 0.500 0.500 0.000
Ni 0.000 0.000 0.000
Ni 0.750 0.250 0.500

Summary:
Energy relative to the elements: 0.39 eV/atom
Electronic total energy: -8.3674 eV/atom
Polymorph energy (0 for the lowest one): 446 meV/atom

***

# 9
Density functional theory data (PBE) for crystalline Sb2CO at its relaxed geometry.

abc: 4.382 4.382 4.382
angles: 60.00 60.00 60.00
Fractional positions:
Sb 0.250 0.250 0.250
Sb 0.750 0.750 0.750
C 0.000 0.000 0.000
O 0.500 0.500 0.500

Summary:
Electronic total energy: -4.6658 eV/atom
Polymorph energy (0 for the lowest one): 407 meV/atom

***

# 10
Density functional theory data (PBE) for crystalline ZrMnFe2 at its relaxed geometry.

abc: 4.889 4.889 2.799
angles: 100.45 100.45 116.60
Fractional positions:
Zr 0.000 0.000 0.000
Mn 0.500 0.500 0.000
Fe 0.000 0.500 0.500
Fe 0.500 0.000 0.500

Summary:
Energy relative to the elements: 0.21 eV/atom
Electronic total energy: -8.4537 eV/atom

***

# 11
Density functional theory data (PBE) for crystalline TiTeS2Cl at its relaxed geometry.

abc: 4.838 4.838 4.654
angles: 90.00 90.00 90.00
Fractional positions:
Ti 0.000 0.000 0.000
Te 0.500 0.500 0.500
S 0.000 0.500 0.000
S 0.500 0.000 0.000
Cl 0.000 0.000 0.500

Summary:
Electronic total energy: -4.6171 eV/atom
Polymorph energy (0 for the lowest one): 0 meV/atom

***

# 12
Density functional theory data (PBE) for crystalline TbY5Ho2 at its relaxed geometry.

abc: 6.573 6.573 15.805
angles: 90.00 90.00 130.24
Fractional positions:
Tb 0.231 0.769 0.750
Tb 0.769 0.231 0.250
Y 0.042 0.958 0.250
Y 0.120 0.880 0.548
Y 0.120 0.880 0.952
Y 0.422 0.578 0.594
Y 0.422 0.578 0.906
Y 0.578 0.422 0.094
Y 0.578 0.422 0.406
Y 0.880 0.120 0.048
Y 0.880 0.120 0.452
Y 0.958 0.042 0.750
Ho 0.280 0.720 0.131
Ho 0.280 0.720 0.369
Ho 0.720 0.280 0.631
Ho 0.720 0.280 0.869

Summary:
Energy relative to the elements: 0.14 eV/atom
Electronic total energy: -5.6270 eV/atom
Polymorph energy (0 for the lowest one): 0 meV/atom